First-principles (PBE-GGA) data for a relaxed structure of KCa2Ru, as listed in Alexandria.

```
data_KCa2Ru
_chemical_formula_sum 'K1 Ca2 Ru1'
_cell_length_a 5.349
_cell_length_b 5.349
_cell_length_c 5.349
_cell_angle_alpha 60.00
_cell_angle_beta 60.00
_cell_angle_gamma 60.00
_symmetry_space_group_name_H-M 'P 1'
_symmetry_Int_Tables_number 1
loop_
_symmetry_equiv_pos_as_xyz
'x,y,z'
loop_
_atom_site_label
_atom_site_type_symbol
_atom_site_fract_x
_atom_site_fract_y
_atom_site_fract_z
K1 K 0.000 0.000 0.000
Ca1 Ca 0.250 0.250 0.250
Ca2 Ca 0.750 0.750 0.750
Ru1 Ru 0.500 0.500 0.500
```

Results
Its crystal system is cubic. The calculation puts the volume at 27.05 A^3/atom. The energy of formation from the pure elements comes out at 12.4 kcal/mol of atoms. The mass density comes out at 3.38 g/cm3.



First-principles (PBE-GGA) data for a relaxed structure of KCa2Ru, as listed in Alexandria.

```
data_KCa2Ru
_chemical_formula_sum 'K1 Ca2 Ru1'
_cell_length_a 5.251
_cell_length_b 5.251
_cell_length_c 4.046
_cell_angle_alpha 90.00
_cell_angle_beta 90.00
_cell_angle_gamma 90.00
_symmetry_space_group_name_H-M 'P 1'
_symmetry_Int_Tables_number 1
loop_
_symmetry_equiv_pos_as_xyz
'x,y,z'
loop_
_atom_site_label
_atom_site_type_symbol
_atom_site_fract_x
_atom_site_fract_y
_atom_site_fract_z
K1 K 0.000 0.000 0.000
Ca1 Ca 0.000 0.500 0.500
Ca2 Ca 0.500 0.000 0.500
Ru1 Ru 0.500 0.500 0.000
```

Results
Its crystal system is tetragonal. The calculation puts the volume at 27.89 A^3/atom. The energy of formation from the pure elements comes out at 15.6 kcal/mol of atoms. The mass density comes out at 3.28 g/cm3.



First-principles (PBE-GGA) data for a relaxed structure of KCaRu4, as listed in Alexandria.

```
data_KCaRu4
_chemical_formula_sum 'K1 Ca1 Ru4'
_cell_length_a 5.421
_cell_length_b 5.421
_cell_length_c 5.421
_cell_angle_alpha 60.00
_cell_angle_beta 60.00
_cell_angle_gamma 60.00
_symmetry_space_group_name_H-M 'P 1'
_symmetry_Int_Tables_number 1
loop_
_symmetry_equiv_pos_as_xyz
'x,y,z'
loop_
_atom_site_label
_atom_site_type_symbol
_atom_site_fract_x
_atom_site_fract_y
_atom_site_fract_z
K1 K 0.000 0.000 0.000
Ca1 Ca 0.250 0.250 0.250
Ru1 Ru 0.126 0.625 0.625
Ru2 Ru 0.625 0.126 0.625
Ru3 Ru 0.625 0.625 0.126
Ru4 Ru 0.625 0.625 0.625
```

Results
Its crystal system is cubic. The calculation puts the volume at 18.77 A^3/atom. The energy of formation from the pure elements comes out at 15.2 kcal/mol of atoms. The mass density comes out at 7.13 g/cm3.



First-principles (PBE-GGA) data for a relaxed structure of KCaRu2, as listed in Alexandria.

```
data_KCaRu2
_chemical_formula_sum 'K1 Ca1 Ru2'
_cell_length_a 5.737
_cell_length_b 5.737
_cell_length_c 5.737
_cell_angle_alpha 139.09
_cell_angle_beta 139.09
_cell_angle_gamma 59.24
_symmetry_space_group_name_H-M 'P 1'
_symmetry_Int_Tables_number 1
loop_
_symmetry_equiv_pos_as_xyz
'x,y,z'
loop_
_atom_site_label
_atom_site_type_symbol
_atom_site_fract_x
_atom_site_fract_y
_atom_site_fract_z
K1 K 0.000 0.000 0.000
Ca1 Ca 0.500 0.500 0.000
Ru1 Ru 0.250 0.750 0.500
Ru2 Ru 0.750 0.250 0.500
```

Results
Its crystal system is tetragonal. The calculation puts the volume at 20.05 A^3/atom. The energy of formation from the pure elements comes out at 24.1 kcal/mol of atoms. The mass density comes out at 5.83 g/cm3.